Entry from Alexandria via LeMat-Bulk: crystalline Pr5CoSn2 at its relaxed geometry (PBE-GGA).

a = 5.9583 Å, b = 5.8974 Å, c = 16.0817 Å
α = 90.00°, β = 90.00°, γ = 120.34°
Sites, in units of the cell vectors:
Pr 0.9178 0.8356 0.8813
Sn 0.7502 0.5004 0.0534
Pr 0.4182 0.8365 0.1184
Pr 0.5818 0.1635 0.8816
Pr 0.4182 0.8365 0.3816
Sn 0.7502 0.5004 0.4466
Pr 0.0822 0.1644 0.1187
Pr 0.7504 0.5008 0.2500
Sn 0.2498 0.4996 0.5534
Pr 0.9178 0.8356 0.6187
Sn 0.2498 0.4996 0.9466
Co 0.2506 0.5012 0.2500
Pr 0.2496 0.4992 0.7500
Pr 0.5818 0.1635 0.6184
Pr 0.0822 0.1644 0.3813
Co 0.7494 0.4988 0.7500

Calculated values
- Magnetization: 0.0001 μB per atom
- Space-group type: Cmcm, No. 63
- Formation enthalpy at 0 K: -0.254 eV per atom


Entry from Alexandria via LeMat-Bulk: crystalline PrErH4 at its relaxed geometry (PBE-GGA).

a = 3.7432 Å, b = 3.7432 Å, c = 5.3717 Å
α = 90.00°, β = 90.00°, γ = 90.00°
Sites, in units of the cell vectors:
H 0.0000 0.5000 0.2725
H 0.5000 0.0000 0.7275
H 0.0000 0.5000 0.7275
Pr 0.0000 0.0000 0.0000
Er 0.5000 0.5000 0.5000
H 0.5000 0.0000 0.2725

Calculated values
- Magnetization: 0.0000 μB per atom
- Space-group type: P4/mmm, No. 123
- E_tot: -26.739 eV/cell


Entry from Alexandria via LeMat-Bulk: crystalline OsBrCl2 at its relaxed geometry (PBE-GGA).

a = 7.1854 Å, b = 7.1854 Å, c = 4.9484 Å
α = 69.98°, β = 69.98°, γ = 24.29°
Sites, in units of the cell vectors:
Cl 0.1072 0.1072 0.8920
Os 0.7500 0.7500 0.7500
Br 0.2500 0.2500 0.2500
Cl 0.3928 0.3928 0.6080

Calculated values
- Excess energy over the best structure of this formula in the dataset: 332 meV/atom
- Formation energy from raw total energies: 242 meV per atom
- Magnetization: 0.0000 μB per atom
- Space-group type: C2/m, No. 12


Entry from Alexandria via LeMat-Bulk: crystalline LiRe2Br at its relaxed geometry (PBE-GGA).

a = 4.5363 Å, b = 4.5363 Å, c = 2.8605 Å
α = 90.00°, β = 90.00°, γ = 90.00°
Sites, in units of the cell vectors:
Br 0.5000 0.0000 0.5000
Li 0.0000 0.5000 0.5000
Re 0.0000 0.0000 0.0000
Re 0.5000 0.5000 0.0000

Calculated values
- Excess energy over the best structure of this formula in the dataset: 1251 meV/atom
- Formation energy from raw total energies: 1409 meV per atom
- Magnetization: 0.0000 μB per atom
- Space-group type: P4/mmm, No. 123


Entry from Alexandria via LeMat-Bulk: crystalline Sn3P5Se12 at its relaxed geometry (PBE-GGA).

a = 13.8679 Å, b = 13.8679 Å, c = 13.8679 Å
α = 109.47°, β = 109.47°, γ = 109.47°
Sites, in units of the cell vectors:
Se 0.9052 0.0865 0.8834
Se 0.5865 0.7031 0.6814
Sn 0.1250 0.2500 0.8750
Se 0.7031 0.1166 0.0217
Sn 0.3750 0.7500 0.6250
Se 0.4052 0.3834 0.5865
P 0.0000 0.0000 0.0000
Se 0.6814 0.2031 0.5865
Sn 0.2500 0.6250 0.8750
Se 0.6814 0.4783 0.5948
Se 0.2969 0.8834 0.9783
Sn 0.7500 0.8750 0.6250
P 0.3750 0.2500 0.1250
Se 0.4135 0.1166 0.5948
Se 0.0217 0.4052 0.8186
Se 0.2031 0.6814 0.0865
P 0.7500 0.6250 0.3750
Sn 0.7500 0.3750 0.1250
P 0.2500 0.3750 0.6250
P 0.5000 0.0000 0.5000
Sn 0.3750 0.6250 0.2500
P 0.0000 0.0000 0.5000
P 0.1250 0.7500 0.3750
Sn 0.2500 0.1250 0.3750
Sn 0.6250 0.3750 0.7500
Se 0.4783 0.6814 0.0948
Se 0.0865 0.9052 0.3834
Sn 0.8750 0.1250 0.2500
Se 0.4783 0.7969 0.8834
P 0.1250 0.3750 0.2500
Se 0.5217 0.2031 0.1166
P 0.8750 0.2500 0.6250
Se 0.8834 0.5865 0.9052
Se 0.5865 0.8834 0.4052
Se 0.1166 0.7031 0.5217
Se 0.8186 0.9135 0.2969
Se 0.0865 0.1814 0.2031
Se 0.5948 0.9783 0.6814
Se 0.4052 0.0217 0.3186
Se 0.3186 0.7969 0.4135
Se 0.8186 0.9052 0.0217
Se 0.3834 0.9783 0.7969
Se 0.9135 0.8186 0.7969
P 0.8750 0.6250 0.7500
Se 0.7031 0.5865 0.1814
P 0.6250 0.8750 0.2500
Se 0.6166 0.5948 0.9135
Se 0.2969 0.4135 0.8186
P 0.7500 0.1250 0.8750
Se 0.1166 0.4135 0.0948
Se 0.9135 0.0948 0.6166
Se 0.9783 0.3834 0.2969
Se 0.7969 0.3186 0.9135
P 0.2500 0.8750 0.1250
Se 0.0948 0.1814 0.4783
Se 0.3834 0.4052 0.0865
P 0.5000 0.0000 0.0000
P 0.3750 0.1250 0.7500
Se 0.1814 0.0865 0.7031
Se 0.5948 0.6166 0.4135
Se 0.4135 0.2969 0.3186
P 0.5000 0.5000 0.0000
Se 0.6166 0.0217 0.2031
Se 0.3186 0.5217 0.4052
Se 0.2031 0.5217 0.6166
Sn 0.6250 0.2500 0.3750
P 0.5000 0.5000 0.5000
Se 0.0217 0.6166 0.7031
Se 0.1814 0.0948 0.9783
Se 0.7969 0.4783 0.3834
Se 0.8834 0.2969 0.4783
P 0.6250 0.7500 0.8750
P 0.0000 0.5000 0.0000
Se 0.0948 0.9135 0.1166
Sn 0.1250 0.8750 0.7500
Se 0.5217 0.3186 0.9052
P 0.0000 0.5000 0.5000
Se 0.9052 0.8186 0.5217
Sn 0.8750 0.7500 0.1250
Se 0.9783 0.5948 0.1814

Calculated values
- Formation energy from raw total energies: 5 meV per atom
- Magnetization: 0.0000 μB per atom
- Space-group type: Ia-3d, No. 230


Entry from Alexandria via LeMat-Bulk: crystalline Pd2Pt4Au at its relaxed geometry (PBE-GGA).

a = 3.9801 Å, b = 4.8701 Å, c = 6.3386 Å
α = 97.47°, β = 90.00°, γ = 65.88°
Sites, in units of the cell vectors:
Pt 0.1439 0.7122 0.5680
Pd 0.2859 0.4283 0.1438
Pt 0.4283 0.1433 0.7095
Pt 0.8561 0.2878 0.4320
Au 0.0000 0.0000 0.0000
Pt 0.5717 0.8567 0.2905
Pd 0.7141 0.5717 0.8562

Calculated values
- Excess energy over the best structure of this formula in the dataset: 0 meV/atom
- Magnetization: 0.0003 μB per atom
- Space-group type: C2/m, No. 12
- Formation enthalpy at 0 K: -0.010 eV per atom


Entry from Alexandria via LeMat-Bulk: crystalline SrInMo2 at its relaxed geometry (PBE-GGA).

a = 3.0893 Å, b = 3.0893 Å, c = 9.8561 Å
α = 90.00°, β = 90.00°, γ = 111.13°
Sites, in units of the cell vectors:
In 0.5000 0.5000 0.7825
Mo 0.5000 0.5000 0.2078
Sr 0.0000 0.0000 0.4859
Mo 0.0000 0.0000 0.0238

Calculated values
- Magnetization: 0.0000 μB per atom
- Space-group type: Cmm2, No. 35
- Formation enthalpy at 0 K: 0.535 eV per atom


Entry from Alexandria via LeMat-Bulk: crystalline PmTh2Pt9 at its relaxed geometry (PBE-GGA).

a = 5.4620 Å, b = 5.4620 Å, c = 9.5454 Å
α = 73.37°, β = 73.37°, γ = 60.00°
Sites, in units of the cell vectors:
Pt 0.3330 0.3330 0.0010
Pt 0.0807 0.5872 0.7449
Pt 0.4128 0.9193 0.2551
Pm 0.0000 0.0000 0.0000
Pt 0.5872 0.0807 0.7449
Pt 0.9193 0.4128 0.2551
Pt 0.4128 0.4128 0.2551
Pt 0.5000 0.5000 0.5000
Th 0.8628 0.8628 0.4117
Pt 0.5872 0.5872 0.7449
Th 0.1372 0.1372 0.5883
Pt 0.6670 0.6670 0.9990

Calculated values
- Excess energy over the best structure of this formula in the dataset: 112 meV/atom
- Magnetization: 0.0000 μB per atom
- Space-group type: R-3m, No. 166
- Formation enthalpy at 0 K: -0.958 eV per atom


Entry from Alexandria via LeMat-Bulk: crystalline LiAg4Au5 at its relaxed geometry (PBE-GGA).

a = 3.5128 Å, b = 3.5167 Å, c = 14.4272 Å
α = 90.00°, β = 90.00°, γ = 90.00°
Sites, in units of the cell vectors:
Li 0.0000 0.0000 0.0000
Ag 0.0000 0.0000 0.1963
Au 0.5000 0.5000 0.7029
Ag 0.0000 0.0000 0.3985
Au 0.5000 0.5000 0.5000
Au 0.5000 0.5000 0.0951
Ag 0.0000 0.0000 0.6015
Au 0.5000 0.5000 0.9049
Au 0.5000 0.5000 0.2971
Ag 0.0000 0.0000 0.8037

Calculated values
- Excess energy over the best structure of this formula in the dataset: 0 meV/atom
- Magnetization: 0.0000 μB per atom
- Space-group type: P4/mmm, No. 123
- Formation enthalpy at 0 K: -0.110 eV per atom


Entry from Alexandria via LeMat-Bulk: crystalline YTcAsN2 at its relaxed geometry (PBE-GGA).

a = 3.9355 Å, b = 5.1865 Å, c = 3.9355 Å
α = 90.00°, β = 90.00°, γ = 90.00°
Sites, in units of the cell vectors:
N 0.0000 0.0000 0.5000
As 0.0000 0.5000 0.0000
N 0.5000 0.0000 0.0000
Y 0.5000 0.5000 0.5000
Tc 0.0000 0.0000 0.0000

Calculated values
- Excess energy over the best structure of this formula in the dataset: 0 meV/atom
- Formation energy from raw total energies: -79 meV per atom
- Magnetization: 0.0000 μB per atom
- Space-group type: P4/mmm, No. 123


Entry from Alexandria via LeMat-Bulk: crystalline CaVCu at its relaxed geometry (PBE-GGA).

a = 9.3999 Å, b = 4.0803 Å, c = 4.0344 Å
α = 65.60°, β = 88.63°, γ = 102.55°
Sites, in units of the cell vectors:
Cu 0.6070 0.3883 0.5342
Cu 0.1789 0.1144 0.6969
Ca 0.4004 0.6143 0.9523
V 0.0834 0.7081 0.3536
V 0.0624 0.3846 0.1168
Ca 0.8153 0.8788 0.8257

Calculated values
- Excess energy over the best structure of this formula in the dataset: 138 meV/atom
- Magnetization: 0.0000 μB per atom
- Space-group type: P1, No. 1
- Formation enthalpy at 0 K: 0.389 eV per atom


Entry from Alexandria via LeMat-Bulk: crystalline HfSiNi3 at its relaxed geometry (PBE-GGA).

a = 4.1948 Å, b = 4.1948 Å, c = 4.1948 Å
α = 90.00°, β = 90.00°, γ = 90.00°
Sites, in units of the cell vectors:
Hf 0.5000 0.5000 0.5000
Ni 0.0000 0.0000 0.5000
Si 0.0000 0.0000 0.0000
Ni 0.0000 0.5000 0.0000
Ni 0.5000 0.0000 0.0000

Calculated values
- Excess energy over the best structure of this formula in the dataset: 78 meV/atom
- Formation energy from raw total energies: -52 meV per atom
- Magnetization: 0.0000 μB per atom
- Space-group type: Pm-3m, No. 221


Entry from Alexandria via LeMat-Bulk: crystalline NiPbCl3 at its relaxed geometry (PBE-GGA).

a = 4.7418 Å, b = 4.7418 Å, c = 4.7418 Å
α = 90.00°, β = 90.00°, γ = 90.00°
Sites, in units of the cell vectors:
Cl 0.0000 0.5000 0.0000
Ni 0.0000 0.0000 0.0000
Cl 0.0000 0.0000 0.5000
Cl 0.5000 0.0000 0.0000
Pb 0.5000 0.5000 0.5000

Calculated values
- Excess energy over the best structure of this formula in the dataset: 0 meV/atom
- Formation energy from raw total energies: -558 meV per atom
- Magnetization: 0.0457 μB per atom
- Space-group type: Pm-3m, No. 221


Entry from Alexandria via LeMat-Bulk: crystalline NaLi2InH at its relaxed geometry (PBE-GGA).

a = 4.3595 Å, b = 4.3595 Å, c = 4.5752 Å
α = 90.00°, β = 90.00°, γ = 90.00°
Sites, in units of the cell vectors:
Na 0.0000 0.0000 0.5000
H 0.0000 0.0000 0.0000
Li 0.0000 0.5000 0.0000
Li 0.5000 0.0000 0.0000
In 0.5000 0.5000 0.5000

Calculated values
- Magnetization: 0.0000 μB per atom
- Space-group type: P4/mmm, No. 123
- E_tot: -11.844 eV/cell


Entry from Alexandria via LeMat-Bulk: crystalline CaAg3Se3 at its relaxed geometry (PBE-GGA).

a = 7.5212 Å, b = 7.5212 Å, c = 8.2462 Å
α = 62.87°, β = 62.87°, γ = 60.00°
Sites, in units of the cell vectors:
Se 0.7443 0.4105 0.7684
Se 0.5895 0.9232 0.2316
Ag 0.5382 0.2134 0.3717
Ag 0.2134 0.8767 0.3717
Ag 0.7866 0.1233 0.6283
Ca 0.6663 0.6663 0.0011
Se 0.2557 0.5895 0.2316
Se 0.0768 0.7443 0.7684
Se 0.9232 0.2557 0.2316
Ca 0.3337 0.3337 0.9989
Ag 0.4618 0.7866 0.6283
Ag 0.1233 0.4618 0.6283
Se 0.4105 0.0768 0.7684
Ag 0.8767 0.5382 0.3717

Calculated values
- Formation energy from raw total energies: -557 meV per atom
- Magnetization: 0.0000 μB per atom
- Space-group type: R-3, No. 148


Entry from Alexandria via LeMat-Bulk: crystalline La2NpMnS6 at its relaxed geometry (PBE-GGA).

a = 6.6463 Å, b = 7.2845 Å, c = 9.7348 Å
α = 90.00°, β = 92.03°, γ = 90.00°
Sites, in units of the cell vectors:
Np 0.5000 0.0000 0.0000
Mn 0.0000 0.5000 0.0000
Np 0.0000 0.5000 0.5000
S 0.1890 0.1844 0.4389
S 0.3244 0.6941 0.4390
La 0.0364 0.9060 0.2452
Mn 0.5000 0.0000 0.5000
La 0.9636 0.0940 0.7548
S 0.6255 0.0377 0.2607
S 0.3110 0.6844 0.0611
S 0.1255 0.4623 0.7607
S 0.3745 0.9623 0.7393
S 0.6890 0.3156 0.9389
S 0.8745 0.5377 0.2393
S 0.1756 0.1941 0.0610
La 0.5364 0.5940 0.7452
La 0.4636 0.4060 0.2548
S 0.6756 0.3059 0.5610
S 0.8110 0.8156 0.5611
S 0.8244 0.8059 0.9390

Calculated values
- Formation energy from raw total energies: -1587 meV per atom
- Magnetization: 0.8000 μB per atom
- Space-group type: P2_1/c, No. 14


Entry from Alexandria via LeMat-Bulk: crystalline YCr2Co at its relaxed geometry (PBE-GGA).

a = 5.3702 Å, b = 5.3702 Å, c = 5.3702 Å
α = 147.35°, β = 132.84°, γ = 58.54°
Sites, in units of the cell vectors:
Cr 0.0199 0.0199 0.0000
Cr 0.4801 0.4801 0.0000
Y 0.7500 0.2500 0.5000
Co 0.2500 0.7500 0.5000

Calculated values
- Excess energy over the best structure of this formula in the dataset: 209 meV/atom
- Magnetization: 0.5322 μB per atom
- Space-group type: Immm, No. 71
- Formation enthalpy at 0 K: 0.520 eV per atom


Entry from Alexandria via LeMat-Bulk: crystalline Nd3ZnH at its relaxed geometry (PBE-GGA).

a = 6.4850 Å, b = 9.2998 Å, c = 8.8734 Å
α = 114.11°, β = 90.00°, γ = 90.00°
Sites, in units of the cell vectors:
Nd 0.0838 0.6455 0.9315
Nd 0.5838 0.8545 0.0685
Zn 0.3501 0.9268 0.4141
Zn 0.8501 0.5732 0.5859
H 0.7532 0.6088 0.0804
Nd 0.9074 0.9366 0.7942
Zn 0.1499 0.4268 0.4141
Zn 0.6499 0.0732 0.5859
Nd 0.0898 0.2317 0.6343
Nd 0.9162 0.3545 0.0685
Nd 0.5926 0.4366 0.7942
Nd 0.9102 0.7683 0.3657
Nd 0.4162 0.1455 0.9315
H 0.7468 0.1088 0.0804
H 0.2532 0.8912 0.9196
Nd 0.4074 0.5634 0.2058
Nd 0.5898 0.2683 0.3657
Nd 0.4102 0.7317 0.6343
Nd 0.0926 0.0634 0.2058
H 0.2468 0.3912 0.9196

Calculated values
- Excess energy over the best structure of this formula in the dataset: 0 meV/atom
- Magnetization: 0.0000 μB per atom
- Space-group type: P2_1/c, No. 14


Entry from Alexandria via LeMat-Bulk: crystalline Ti2SnSbPd at its relaxed geometry (PBE-GGA).

a = 4.9380 Å, b = 4.9207 Å, c = 4.9380 Å
α = 90.00°, β = 90.00°, γ = 90.00°
Sites, in units of the cell vectors:
Pd 0.0000 0.0000 0.0000
Sb 0.5000 0.5000 0.5000
Ti 0.5000 0.0000 0.0000
Sn 0.0000 0.5000 0.0000
Ti 0.0000 0.0000 0.5000

Calculated values
- Formation energy from raw total energies: 298 meV per atom
- Magnetization: 0.3126 μB per atom
- Space-group type: P4/mmm, No. 123


Entry from Alexandria via LeMat-Bulk: crystalline CsRb3Cd2H8 at its relaxed geometry (PBE-GGA).

a = 6.2703 Å, b = 6.2703 Å, c = 9.7298 Å
α = 90.00°, β = 90.00°, γ = 120.00°
Sites, in units of the cell vectors:
H 0.3454 0.1727 0.7315
H 0.1727 0.3454 0.2685
H 0.8273 0.1727 0.7315
Cd 0.6667 0.3333 0.7914
Rb 0.3333 0.6667 0.7527
H 0.8273 0.6546 0.7315
H 0.3333 0.6667 0.0218
Cd 0.3333 0.6667 0.2086
Cs 0.0000 0.0000 0.5000
H 0.6546 0.8273 0.2685
H 0.1727 0.8273 0.2685
H 0.6667 0.3333 0.9782
Rb 0.6667 0.3333 0.2473
Rb 0.0000 0.0000 0.0000

Calculated values
- Magnetization: 0.0000 μB per atom
- Space-group type: P-3m1, No. 164
- E_tot: -34.283 eV/cell